VASP calculation (PBE-GGA) on an optimized crystal structure of Tb5InTc2.

Summary:
Spin magnetization   0.00 μB/f.u.
DOS at the Fermi energy   1.34 states/eV/atom
E_tot   -5.979 eV/atom
Formation energy from the elements   -151 meV per atom

Unit cell a=7.6115 b=7.6115 c=14.6398 alpha=90.00 beta=90.00 gamma=90.00
Last column: nearest neighbours and their distance in Å.
Space group I4/mcm (No. 140)
Unique sites:
Tb (0.0000, 0.0000, 0.0000) [4 per cell]  4 Tc 3.06
Tb (0.1749, 0.3251, 0.1358) [16 per cell]  3 Tc 3.00-3.01, 2 In 3.27
In (0.0000, 0.0000, 0.2500) [4 per cell]  10 Tb 3.27-3.66
Tc (0.1147, 0.3853, 0.5000) [8 per cell]  1 Tc 2.47

=====

VASP calculation (PBE-GGA) on an optimized crystal structure of NaHfCo2.

Summary:
Spin magnetization   0.00 μB/f.u.
DOS at the Fermi energy   0.88 states/eV/atom
E_tot   -6.001 eV/atom
Energy above the lowest structure with this stoichiometry   0.0 kJ per mole of atoms
Formation energy from the elements   370 meV per atom

Unit cell a=6.2188 b=6.2188 c=6.2188 alpha=90.00 beta=90.00 gamma=90.00
Last column: nearest neighbours and their distance in Å.
Space group Fm-3m (No. 225)
Unique sites:
Na (0.0000, 0.0000, 0.0000) [4 per cell]  8 Co 2.69
Hf (0.0000, 0.0000, 0.5000) [4 per cell]  8 Co 2.69
Co (0.2500, 0.2500, 0.2500) [8 per cell]  4 Hf 2.69, 4 Na 2.69

=====

VASP calculation (PBE-GGA) on an optimized crystal structure of La2InAuF.

Summary:
Spin magnetization   1.89 μB/f.u.
DOS at the Fermi energy   1.30 states/eV/atom
E_tot   -3.917 eV/atom
Uncorrected formation energy   -0.3689 eV per atom

Unit cell a=6.1026 b=6.1026 c=4.4361 alpha=90.00 beta=90.00 gamma=90.00
Last column: nearest neighbours and their distance in Å.
Space group P4/mmm (No. 123)
Unique sites:
La (0.0000, 0.5000, 0.0000) [2 per cell]  2 In 3.05
In (0.0000, 0.0000, 0.0000) [1 per cell]  2 F 2.22
Au (0.5000, 0.5000, 0.5000) [1 per cell]  8 La 3.77
F (0.0000, 0.0000, 0.5000) [1 per cell]  2 In 2.22

=====

VASP calculation (PBE-GGA) on an optimized crystal structure of CaZr2Si.

Summary:
Spin magnetization   0.00 μB/f.u.
DOS at the Fermi energy   1.34 states/eV/atom
E_tot   -6.146 eV/atom
Uncorrected formation energy   -0.0156 eV per atom

Unit cell a=4.4108 b=4.4108 c=4.4260 alpha=90.00 beta=90.00 gamma=90.00
Last column: nearest neighbours and their distance in Å.
Space group P4/mmm (No. 123)
Unique sites:
Ca (0.0000, 0.0000, 0.0000) [1 per cell]  4 Si 3.12, 8 Zr 3.12
Zr (0.0000, 0.5000, 0.5000) [2 per cell]  4 Zr 3.12, 4 Si 3.12, 4 Ca 3.12
Si (0.5000, 0.5000, 0.0000) [1 per cell]  4 Ca 3.12, 8 Zr 3.12

=====

VASP calculation (PBE-GGA) on an optimized crystal structure of PuMnAl.

Summary:
Spin magnetization   4.13 μB/f.u.
DOS at the Fermi energy   2.23 states/eV/atom
E_tot   -9.061 eV/atom
Formation energy from the elements   20 meV per atom

Unit cell a=4.4184 b=4.4184 c=5.9045 alpha=90.00 beta=90.00 gamma=90.00
Last column: nearest neighbours and their distance in Å.
Space group P4_2/mmc (No. 131)
Unique sites:
Pu (0.0000, 0.5000, 0.0000) [2 per cell]  4 Mn 2.66, 2 Al 2.95
Mn (0.0000, 0.0000, 0.2500) [2 per cell]  4 Al 2.66, 4 Pu 2.66, 2 Mn 2.95
Al (0.0000, 0.5000, 0.5000) [2 per cell]  4 Mn 2.66, 2 Pu 2.95

=====

VASP calculation (PBE-GGA) on an optimized crystal structure of Ce5Te5F2.

Summary:
Spin magnetization   6.79 μB/f.u.
DOS at the Fermi energy   2.74 states/eV/atom
E_tot   -5.856 eV/atom
Uncorrected formation energy   -1.7630 eV per atom

Unit cell a=14.3425 b=4.1685 c=11.2946 alpha=90.00 beta=98.62 gamma=90.00
Last column: nearest neighbours and their distance in Å.
Space group C2/m (No. 12)
Unique sites:
Ce (0.0000, 0.0000, 0.0000) [2 per cell]  2 F 2.43
Ce (0.1035, 0.0000, 0.3467) [4 per cell]  1 F 2.61
Ce (0.1652, 0.5000, 0.8055) [4 per cell]  2 F 2.64
Te (0.0000, 0.5000, 0.5000) [2 per cell]  4 Ce 3.21
Te (0.1578, 0.5000, 0.0984) [4 per cell]  5 Ce 3.15-3.34, 1 Te 3.42
Te (0.2230, 0.0000, 0.6155) [4 per cell]  5 Ce 3.19-3.25, 3 Te 3.42-3.51, 1 F 3.48
F (0.0524, 0.0000, 0.8049) [4 per cell]  4 Ce 2.43-2.64

=====

VASP calculation (PBE-GGA) on an optimized crystal structure of PmNdZnPt.

Summary:
Spin magnetization   0.00 μB/f.u.
DOS at the Fermi energy   0.77 states/eV/atom
E_tot   -4.942 eV/atom
Energy above the lowest structure with this stoichiometry   0.0 kJ per mole of atoms
Formation energy from the elements   -733 meV per atom

Unit cell a=4.5390 b=3.9638 c=11.0404 alpha=90.00 beta=90.00 gamma=90.00
Last column: nearest neighbours and their distance in Å.
Space group Amm2 (No. 38)
Unique sites:
Pm (0.0000, 0.0000, 0.0000) [2 per cell]  3 Zn 3.08-3.16, 4 Pt 3.11
Nd (0.5000, 0.0000, 0.2791) [2 per cell]  3 Pt 3.05-3.20, 4 Zn 3.10
Zn (0.0000, 0.0000, 0.7136) [2 per cell]  2 Pt 2.78, 2 Pm 3.08, 4 Nd 3.10
Pt (0.5000, 0.0000, 0.5686) [2 per cell]  2 Zn 2.78, 2 Nd 3.05, 4 Pm 3.11

=====

VASP calculation (PBE-GGA) on an optimized crystal structure of La3Pm2NdSe6.

Summary:
Spin magnetization   0.00 μB/f.u.
DOS at the Fermi energy   0.52 states/eV/atom
E_tot   -6.089 eV/atom
Uncorrected formation energy   -1.9254 eV per atom

Unit cell a=7.3698 b=12.8053 c=7.3738 alpha=90.00 beta=109.56 gamma=90.00
Last column: nearest neighbours and their distance in Å.
Space group C2/m (No. 12)
Unique sites:
La (0.0000, 0.0000, 0.0000) [2 per cell]  6 Se 3.03-3.04
La (0.0000, 0.3340, 0.0000) [4 per cell]  6 Se 3.03-3.04
Pm (0.0000, 0.1666, 0.5000) [4 per cell]  6 Se 2.98
Nd (0.0000, 0.5000, 0.5000) [2 per cell]  6 Se 2.99-3.00
Se (0.2459, 0.0000, 0.7430) [4 per cell]  2 Pm 2.98, 1 Nd 2.99, 3 La 3.03-3.04
Se (0.2485, 0.3325, 0.7434) [8 per cell]  2 Pm 2.98, 1 Nd 3.00, 3 La 3.03-3.04

=====

VASP calculation (PBE-GGA) on an optimized crystal structure of Dy5HoTm.

Summary:
Spin magnetization   0.00 μB/f.u.
DOS at the Fermi energy   1.11 states/eV/atom
E_tot   -4.385 eV/atom
Energy above the lowest structure with this stoichiometry   0.0 kJ per mole of atoms
Formation energy from the elements   195 meV per atom

Unit cell a=11.6170 b=6.6670 c=12.1641 alpha=90.00 beta=110.93 gamma=90.00
Last column: nearest neighbours and their distance in Å.
Space group C2/c (No. 15)
Unique sites:
Dy (0.0000, 0.0836, 0.2500) [4 per cell]  2 Dy 2.95, 1 Ho 2.97
Dy (0.0801, 0.2383, 0.0020) [8 per cell]  3 Dy 3.26-3.61, 1 Ho 3.26
Dy (0.2184, 0.1353, 0.7432) [8 per cell]  2 Dy 2.95-3.26, 1 Tm 3.20
Ho (0.0000, 0.4711, 0.7500) [4 per cell]  3 Dy 2.97-3.26
Tm (0.2500, 0.2500, 0.5000) [4 per cell]  4 Dy 3.20-3.55

=====

VASP calculation (PBE-GGA) on an optimized crystal structure of LaSm2DyS4.

Summary:
Spin magnetization   0.00 μB/f.u.
DOS at the Fermi energy   0.62 states/eV/atom
E_tot   -6.477 eV/atom
Uncorrected formation energy   -2.0426 eV per atom

Unit cell a=6.9570 b=3.9894 c=7.0157 alpha=90.00 beta=109.11 gamma=90.00
Last column: nearest neighbours and their distance in Å.
Space group P2/m (No. 10)
Unique sites:
La (0.0000, 0.0000, 0.0000) [1 per cell]  6 S 2.88
Sm (0.5000, 0.0000, 0.5000) [1 per cell]  6 S 2.80-2.81
Sm (0.5000, 0.5000, 0.0000) [1 per cell]  6 S 2.89
Dy (0.0000, 0.5000, 0.5000) [1 per cell]  6 S 2.80
S (0.2460, 0.0000, 0.7396) [2 per cell]  2 Dy 2.80, 3 Sm 2.81-2.89, 1 La 2.88
S (0.2533, 0.5000, 0.2606) [2 per cell]  3 Sm 2.80-2.89, 1 Dy 2.80, 2 La 2.88

=====

VASP calculation (PBE-GGA) on an optimized crystal structure of Pr3NdY2.

Summary:
Spin magnetization   0.00 μB/f.u.
DOS at the Fermi energy   1.38 states/eV/atom
E_tot   -5.338 eV/atom
Energy above the lowest structure with this stoichiometry   0.0 kJ per mole of atoms
Formation energy from the elements   2 meV per atom

Unit cell a=18.2063 b=7.3858 c=6.3955 alpha=90.00 beta=103.48 gamma=90.00
Last column: nearest neighbours and their distance in Å.
Space group C2/c (No. 15)
Unique sites:
Pr (0.0000, 0.1286, 0.2500) [4 per cell]  2 Y 3.64, 6 Pr 3.65-3.72, 4 Nd 3.65-3.73
Pr (0.1672, 0.1253, 0.0267) [8 per cell]  5 Pr 3.62-3.69, 6 Y 3.62-3.71, 1 Nd 3.65
Nd (0.0000, 0.3769, 0.7500) [4 per cell]  4 Y 3.64, 6 Pr 3.65-3.73, 2 Nd 3.68
Y (0.1671, 0.3764, 0.5286) [8 per cell]  7 Pr 3.62-3.71, 2 Nd 3.64, 3 Y 3.64-3.68

=====

VASP calculation (PBE-GGA) on an optimized crystal structure of NbSI.

Summary:
Spin magnetization   0.52 μB/f.u.
DOS at the Fermi energy   0.84 states/eV/atom
E_tot   -6.099 eV/atom
Uncorrected formation energy   -0.8495 eV per atom

Unit cell a=10.8306 b=10.8306 c=10.8306 alpha=90.00 beta=90.00 gamma=90.00
Last column: nearest neighbours and their distance in Å.
Space group F-43m (No. 216)
Unique sites:
Nb (0.0972, 0.0972, 0.0972) [16 per cell]  3 S 2.43
S (0.1242, 0.1242, 0.8758) [16 per cell]  3 Nb 2.43
I (0.1265, 0.1265, 0.3735) [16 per cell]  3 Nb 3.03